No. 1
# Nb4TlCuC2 | the Open Quantum Materials Database | GGA-PBE | relaxed
data_Nb4TlCuC2
_chemical_formula_sum 'Nb4 Tl1 Cu1 C2'
_cell_length_a 3.1947
_cell_length_b 3.1947
_cell_length_c 13.8064
_cell_angle_alpha 90.00
_cell_angle_beta 90.00
_cell_angle_gamma 120.00
_symmetry_space_group_name_H-M 'P -6 m 2'
_symmetry_Int_Tables_number 187
_symmetry_space_group_name_Hall 'P -6 2'
loop_
_atom_site_label
_atom_site_fract_x
_atom_site_fract_y
_atom_site_fract_z
Nb1 0.0000 0.0000 0.1475
Nb2 0.6667 0.3333 0.3208
Tl1 0.0000 0.0000 0.5000
Cu1 0.6667 0.3333 0.0000
C1 0.3333 0.6667 0.2330
# - Crystal system: hexagonal

No. 2
# Ho2ErMg3Ir2Pt | the Open Quantum Materials Database | GGA-PBE | relaxed
data_Ho2ErMg3Ir2Pt
_chemical_formula_sum 'Ho4 Er2 Mg6 Ir4 Pt2'
_cell_length_a 4.0255
_cell_length_b 12.6264
_cell_length_c 7.2902
_cell_angle_alpha 90.00
_cell_angle_beta 90.00
_cell_angle_gamma 90.00
_symmetry_space_group_name_H-M 'A m m 2'
_symmetry_Int_Tables_number 38
loop_
_symmetry_equiv_pos_as_xyz
'x,y,z'
'-x,-y,z'
'-x,y,z'
'x,-y,z'
'x,y+1/2,z+1/2'
'-x,-y+1/2,z+1/2'
'-x,y+1/2,z+1/2'
'x,-y+1/2,z+1/2'
loop_
_atom_site_label
_atom_site_fract_x
_atom_site_fract_y
_atom_site_fract_z
Ho1 0.0000 0.2067 0.0000
Er1 0.0000 0.0000 0.3800
Mg1 0.5000 0.0000 0.0407
Mg2 0.5000 0.1237 0.6697
Ir1 0.5000 0.1666 0.2934
Pt1 0.0000 0.0000 0.7932
# - Crystal system: orthorhombic

Number 1: total magnetic moment 0.000 μB per atom, total DFT energy (no corrections) -8.351 eV per atom. Number 2: total magnetic moment 0.001 μB per atom, total DFT energy (no corrections) -5.478 eV per atom.